Below is a relaxed structure of Ba5Sm8Mn4O21, with properties calculated at the PBE with a Hubbard U level.

The structure in POSCAR format:
```
Ba5Sm8Mn4O21
1.0
5.891 0.000 0.000
2.945 10.085 0.000
2.945 0.000 10.085
O Mn Sm Ba
21 4 8 5
Cartesian
4.406 8.980 4.098 O
4.430 4.098 1.105 O
1.468 1.327 2.275 O
7.376 8.980 4.098 O
7.351 5.987 8.980 O
8.836 4.136 6.643 O
5.891 3.442 4.136 O
4.413 2.275 8.758 O
7.351 4.098 1.105 O
5.891 6.643 5.949 O
2.945 5.949 3.442 O
4.430 5.987 8.980 O
7.368 7.810 1.327 O
7.368 2.275 8.758 O
2.945 0.000 0.000 O
10.314 8.758 7.810 O
4.423 1.327 2.275 O
7.376 1.105 5.987 O
4.413 7.810 1.327 O
7.358 8.758 7.810 O
4.406 1.105 5.987 O
5.891 7.151 7.962 Mn
5.891 2.934 2.123 Mn
2.945 2.123 7.151 Mn
8.836 7.962 2.934 Mn
5.891 9.294 5.885 Sm
5.891 0.536 7.751 Sm
5.891 9.549 2.335 Sm
8.836 7.751 9.549 Sm
2.945 2.335 0.536 Sm
2.945 5.885 0.791 Sm
8.836 4.201 9.294 Sm
5.891 0.791 4.201 Sm
8.836 6.747 6.101 Ba
0.000 0.000 0.000 Ba
5.891 3.984 6.747 Ba
5.891 6.101 3.338 Ba
2.945 3.338 3.984 Ba
```

D(E_F), states/eV per cell: 0.0
Space group: I4/m
Total magnetization, μB per cell: 20.0
Uncorrected energy, eV per cell: -288.89
Calculated density, g/cm3: 6.8